Record 1
Entry from Alexandria via LeMat-Bulk: an optimized crystal structure of TbPm4Rh4 (PBE-GGA).

The space group is P4_2/n (No. 86, origin choice 2) and the conventional cell measures 8.9035, 8.9035 and 5.7561 Å, with angles of 90.00, 90.00 and 90.00 degrees. Symmetry generates all atoms from Tb at (0.2500, 0.2500, 0.2500), Pm at (0.0612, 0.6668, 0.1562) and Rh at (0.0236, 0.6287, 0.6495).

The volume is 456 Å³/cell. The density of states at the Fermi level comes out at 11.40 states/eV per cell. The raw total energy is -6.488 eV/atom. The value obtained for the formation energy is -5.4 eV/f.u.

***

Record 2
Entry from Alexandria via LeMat-Bulk: an optimized crystal structure of TbPm12Rh4 (PBE-GGA).

The space group is Im-3 (No. 204) and the conventional cell measures 10.3956, 10.3956 and 10.3956 Å, with angles of 90.00, 90.00 and 90.00 degrees. Symmetry generates all atoms from Tb at (0.0000, 0.0000, 0.0000), Pm at (0.0000, 0.3148, 0.1737) and Rh at (0.2500, 0.2500, 0.2500).

The volume is 1123 Å³/cell. The density of states at the Fermi level comes out at 39.87 states/eV per cell. The raw total energy is -5.590 eV/atom. The value obtained for the formation energy is -4.0 eV/f.u.

***

Record 3
Entry from Alexandria via LeMat-Bulk: an optimized crystal structure of TbPm2Rh (PBE-GGA).

The space group is Pnma (No. 62) and the conventional cell measures 7.2649, 9.8660 and 6.3525 Å, with angles of 90.00, 90.00 and 90.00 degrees. Symmetry generates all atoms from Tb at (0.0363, 0.2500, 0.1476), Pm at (0.1779, 0.0652, 0.6697) and Rh at (0.1217, 0.7500, 0.4426).

The volume is 455 Å³/cell. For the polymorph energy (0 for the lowest one), the calculation gives 0 meV/atom. The density of states at the Fermi level comes out at 17.76 states/eV per cell. The raw total energy is -5.833 eV/atom. The value obtained for the formation energy is -1.9 eV/f.u.

***

Record 4
Entry from Alexandria via LeMat-Bulk: an optimized crystal structure of TbPmRh (PBE-GGA).

The space group is Cm (No. 8) and the conventional cell measures 12.3631, 3.8189 and 8.2497 Å, with angles of 90.00, 124.78 and 90.00 degrees. Symmetry generates all atoms from Tb at (0.0000, 0.0000, 0.0000), Tb at (0.0909, 0.5000, 0.6945), Pm at (0.2564, 0.5000, 0.4675), Pm at (0.3392, 0.0000, 0.1600), Rh at (0.0445, 0.0000, 0.3847) and Rh at (0.2991, 0.0000, 0.7808).

The volume is 320 Å³/cell. For the polymorph energy (0 for the lowest one), the calculation gives 0 meV/atom. The density of states at the Fermi level comes out at 13.02 states/eV per cell. The raw total energy is -6.154 eV/atom. The value obtained for the formation energy is -1.7 eV/f.u.

***

Record 5
Entry from Alexandria via LeMat-Bulk: an optimized crystal structure of Tb3PmRh (PBE-GGA).

The space group is Pm-3m (No. 221) and the conventional cell measures 5.4446, 5.4446 and 5.4446 Å, with angles of 90.00, 90.00 and 90.00 degrees. Symmetry generates all atoms from Tb at (0.0000, 0.0000, 0.5000), Pm at (0.5000, 0.5000, 0.5000) and Rh at (0.0000, 0.0000, 0.0000).

The volume is 161 Å³/cell. For the polymorph energy (0 for the lowest one), the calculation gives 57 meV/atom. The density of states at the Fermi level comes out at 7.97 states/eV per cell. The raw total energy is -5.425 eV/atom. The value obtained for the formation energy is -1.1 eV/f.u.

***

Record 6
Entry from Alexandria via LeMat-Bulk: an optimized crystal structure of TbPm2Rh (PBE-GGA).

The space group is R-3m (No. 166, hexagonal axes) and the conventional cell measures 3.7086, 3.7086 and 31.9151 Å, with angles of 90.00, 90.00 and 120.00 degrees. Symmetry generates all atoms from Tb at (0.0000, 0.0000, 0.0000), Pm at (0.0000, 0.0000, 0.1100) and Rh at (0.0000, 0.0000, 0.5000).

The volume is 380 Å³/cell. For the polymorph energy (0 for the lowest one), the calculation gives 379 meV/atom. The density of states at the Fermi level comes out at 17.53 states/eV per cell. The raw total energy is -5.455 eV/atom. The value obtained for the formation energy is -0.3 eV/f.u.